# KSc2Ta

Crystalline KSc2Ta at its relaxed geometry (PBE, Alexandria via LeMat-Bulk).

```
4
Lattice="5.557 0.000 0.000 0.000 5.557 0.000 0.000 0.000 3.178" Properties=species:S:1:pos:R:3 pbc="T T T"
K 0.000 0.000 0.000
Sc 0.000 2.778 1.589
Sc 2.778 0.000 1.589
Ta 2.778 2.778 0.000
```

* symmetry: P4/mmm (123)
* calculated density: 5.2 g/cm3
* relative energy among the computed polymorphs: 2.12 eV/f.u.
* total moment: 0.000 μB per formula unit
* final energy: -5.5154 eV/atom



# KSc2Ta

Crystalline KSc2Ta at its relaxed geometry (PBE, Alexandria via LeMat-Bulk).

```
4
Lattice="-1.536 2.842 5.976 1.536 -2.842 5.976 1.536 2.842 -5.976" Properties=species:S:1:pos:R:3 pbc="T T T"
K 0.000 0.000 0.000
Sc 1.536 0.000 3.318
Sc 0.000 0.000 6.485
Ta 0.000 2.842 2.872
```

* symmetry: Imm2 (44)
* calculated density: 4.9 g/cm3
* relative energy among the computed polymorphs: 1.93 eV/f.u.
* total moment: 0.000 μB per formula unit
* final energy: -5.5625 eV/atom



# KSc2Ta

Crystalline KSc2Ta at its relaxed geometry (PBE, Alexandria via LeMat-Bulk).

```
4
Lattice="3.044 0.000 0.000 0.000 3.044 0.000 0.000 0.000 11.507" Properties=species:S:1:pos:R:3 pbc="T T T"
K 0.000 0.000 0.000
Sc 0.000 0.000 6.177
Sc 1.522 1.522 3.515
Ta 1.522 1.522 8.228
```

* symmetry: P4mm (99)
* calculated density: 4.8 g/cm3
* relative energy among the computed polymorphs: 0.80 eV/f.u.
* total moment: 0.002 μB per formula unit
* final energy: -5.8447 eV/atom



> Which of these has the highest final energy?

number 1